Record 1
# KMnP2 | the Alexandria database | GGA-PBEsol | optimized geometry
data_KMnP2
_symmetry_space_group_name_H-M 'P 4/m m m'
_symmetry_Int_Tables_number 123
_symmetry_space_group_name_Hall '-P 4 2'
_cell_length_a 4.315
_cell_length_b 4.315
_cell_length_c 3.975
_cell_angle_alpha 90.00
_cell_angle_beta 90.00
_cell_angle_gamma 90.00
loop_
_atom_site_label
_atom_site_fract_x
_atom_site_fract_y
_atom_site_fract_z
K1 0.000 0.000 0.000
Mn1 0.500 0.500 0.000
P1 0.000 0.500 0.500
# Polymorph energy (0 for the lowest one) in eV/atom: 0.822

Record 2
Below is a relaxed K4MnP crystal, with properties calculated at the GGA-PBEsol level.

Structure (CIF):
```
data_K4MnP
_symmetry_space_group_name_H-M 'F -4 3 m'
_symmetry_Int_Tables_number 216
_symmetry_space_group_name_Hall 'F -4 2 3'
_cell_length_a 9.389
_cell_length_b 9.389
_cell_length_c 9.389
_cell_angle_alpha 90.00
_cell_angle_beta 90.00
_cell_angle_gamma 90.00
loop_
_atom_site_label
_atom_site_fract_x
_atom_site_fract_y
_atom_site_fract_z
K1 0.123 0.123 0.377
Mn1 0.000 0.000 0.000
P1 0.250 0.250 0.750
```

Number 1: formation energy from the elements 0.6003 eV/atom, total DFT energy (no corrections) -5.02 eV per atom. Number 2: formation energy from the elements 0.8743 eV/atom, total DFT energy (no corrections) -2.47 eV per atom.